1.
Material: Sr3CaGa3
Method: DFT, GGA-PBE
State: optimized geometry

Unit cell a=4.4501 b=12.4559 c=16.6812 alpha=90.00 beta=90.00 gamma=90.00
Last column: nearest neighbours and their distance in Å.
Space group Cmcm (No. 63)
Inequivalent atoms, fractional coordinates:
Sr 0.0000 0.0005 0.2500 x4  7 Ga 3.37-3.61
Sr 0.0000 0.2870 0.1106 x8  4 Ga 3.31-3.36
Ca 0.0000 0.0000 0.0000 x4  4 Ga 3.14
Ga 0.0000 0.2892 0.7500 x4  2 Ga 2.72
Ga 0.0000 0.4101 0.6141 x8  1 Ga 2.72

---

2.
Material: Sr2CaGa2
Method: DFT, GGA-PBE
State: optimized geometry

Computed properties:
Polymorph energy (0 for the lowest one), meV per atom: 19

Unit cell a=8.7605 b=8.7605 c=4.2535 alpha=90.00 beta=90.00 gamma=90.00
Last column: nearest neighbours and their distance in Å.
Space group P4/mbm (No. 127)
Inequivalent atoms, fractional coordinates:
Sr 0.1763 0.3237 0.0000 x4  6 Ga 3.35-3.37
Ca 0.0000 0.0000 0.5000 x2  4 Ga 3.52, 8 Sr 3.87
Ga 0.1152 0.6152 0.5000 x4  1 Ga 2.85

---

3.
Material: Sr2CaGa
Method: DFT, GGA-PBE
State: optimized geometry

Unit cell a=3.9810 b=3.9810 c=39.3948 alpha=90.00 beta=90.00 gamma=120.00
Last column: nearest neighbours and their distance in Å.
Space group R-3m (No. 166, hexagonal axes)
Inequivalent atoms, fractional coordinates:
Sr 0.0000 0.0000 0.0822 x6  1 Ga 3.24
Ca 0.0000 0.0000 0.5000 x3  6 Ca 3.98, 6 Sr 4.04
Ga 0.0000 0.0000 0.0000 x3  2 Sr 3.24

---

4.
Material: SrCa2Ga4
Method: DFT, GGA-PBE
State: optimized geometry

Unit cell a=4.2701 b=4.6408 c=18.8052 alpha=90.00 beta=90.00 gamma=90.00
Last column: nearest neighbours and their distance in Å.
Space group Immm (No. 71)
Inequivalent atoms, fractional coordinates:
Sr 0.0000 0.0000 0.0000 x2  12 Ga 3.40-3.54
Ca 0.0000 0.5000 0.3144 x4  7 Ga 3.22-3.26
Ga 0.0000 0.0000 0.4327 x4  3 Ga 2.53-2.56
Ga 0.0000 0.5000 0.1422 x4  2 Ga 2.56

---

5.
Material: SrCaGa3
Method: DFT, GGA-PBE
State: optimized geometry

Computed properties:
Polymorph energy (0 for the lowest one), meV per atom: 698

Unit cell a=5.4927 b=5.4927 c=5.4927 alpha=90.00 beta=90.00 gamma=90.00
Last column: nearest neighbours and their distance in Å.
Space group Pm-3m (No. 221)
Inequivalent atoms, fractional coordinates:
Sr 0.0000 0.0000 0.0000 x1  12 Ga 3.88
Ca 0.5000 0.5000 0.5000 x1  6 Ga 2.75
Ga 0.0000 0.5000 0.5000 x3  2 Ca 2.75

---

6.
Material: SrCa2Ga
Method: DFT, GGA-PBE
State: optimized geometry

Unit cell a=5.1325 b=9.0842 c=6.6884 alpha=90.00 beta=112.44 gamma=90.00
Last column: nearest neighbours and their distance in Å.
Space group P2_1/m (No. 11)
Inequivalent atoms, fractional coordinates:
Sr 0.0564 0.2500 0.1126 x2  3 Ga 3.45-3.75
Ca 0.3436 0.0546 0.6874 x4  3 Ga 3.15-3.23
Ga 0.2226 0.7500 0.4452 x2  6 Ca 3.15-3.23, 1 Sr 3.45

---

7.
Material: Sr2CaGa
Method: DFT, GGA-PBE
State: optimized geometry

Unit cell a=5.6756 b=5.6756 c=4.5149 alpha=90.00 beta=90.00 gamma=90.00
Last column: nearest neighbours and their distance in Å.
Space group P4/mmm (No. 123)
Inequivalent atoms, fractional coordinates:
Sr 0.0000 0.5000 0.0000 x2  4 Ca 3.63, 4 Ga 3.63, 4 Sr 4.01
Ca 0.0000 0.0000 0.5000 x1  8 Sr 3.63, 4 Ga 4.01
Ga 0.5000 0.5000 0.5000 x1  8 Sr 3.63, 4 Ca 4.01

---

8.
Material: Sr2Ca3Ga2
Method: DFT, GGA-PBE
State: optimized geometry

Unit cell a=13.6055 b=4.1568 c=9.7138 alpha=90.00 beta=114.23 gamma=90.00
Last column: nearest neighbours and their distance in Å.
Space group C2/m (No. 12)
Inequivalent atoms, fractional coordinates:
Sr 0.1567 0.0000 0.3091 x4  2 Ga 3.26
Ca 0.0000 0.5000 0.5000 x2  4 Ga 3.18
Ca 0.1277 0.5000 0.9362 x4  3 Ga 3.15-3.35
Ga 0.1681 0.0000 0.7209 x4  5 Ca 3.15-3.35, 2 Sr 3.26

---

9.
Material: SrCa2Ga
Method: DFT, GGA-PBE
State: optimized geometry

Unit cell a=4.0044 b=4.0044 c=33.0589 alpha=90.00 beta=90.00 gamma=120.00
Last column: nearest neighbours and their distance in Å.
Space group R3m (No. 160, hexagonal axes)
Inequivalent atoms, fractional coordinates:
Sr 0.0000 0.0000 0.0000 x3  6 Sr 4.00, 6 Ca 4.14-4.17
Ca 0.0000 0.0000 0.2293 x3  3 Ga 3.09
Ca 0.0000 0.0000 0.4385 x3  3 Ga 3.09
Ga 0.0000 0.0000 0.8338 x3  6 Ca 3.09

---

10.
Material: Sr3CaGa
Method: DFT, GGA-PBE
State: optimized geometry

Computed properties:
Polymorph energy (0 for the lowest one), meV per atom: 0

Unit cell a=13.1150 b=13.1150 c=4.9443 alpha=90.00 beta=90.00 gamma=90.00
Last column: nearest neighbours and their distance in Å.
Space group P4_2/mnm (No. 136)
Inequivalent atoms, fractional coordinates:
Sr 0.0137 0.3236 0.0000 x8  1 Ga 3.41, 2 Ca 3.81
Sr 0.1112 0.8888 0.5000 x4  4 Ga 3.47
Ca 0.1873 0.1873 0.5000 x4  2 Ga 3.30
Ga 0.0696 0.0696 0.0000 x4  1 Ga 2.58

---

11.
Material: SrCaGa2
Method: DFT, GGA-PBE
State: optimized geometry

Unit cell a=8.4088 b=8.4088 c=7.1120 alpha=90.00 beta=90.00 gamma=90.00
Last column: nearest neighbours and their distance in Å.
Space group I-42d (No. 122)
Inequivalent atoms, fractional coordinates:
Sr 0.0000 0.0000 0.0000 x4  4 Ga 3.20, 2 Ca 3.56
Ca 0.0000 0.0000 0.5000 x4  4 Ga 3.01
Ga 0.2327 0.2500 0.6250 x8  2 Ca 3.01, 2 Sr 3.20

---

12.
Material: Sr2CaGa
Method: DFT, GGA-PBE
State: optimized geometry

Unit cell a=9.8902 b=9.8902 c=6.8532 alpha=90.00 beta=90.00 gamma=90.00
Last column: nearest neighbours and their distance in Å.
Space group I-42d (No. 122)
Inequivalent atoms, fractional coordinates:
Sr 0.1717 0.2500 0.1250 x8  2 Ga 3.12
Ca 0.0000 0.0000 0.5000 x4  2 Ga 3.43
Ga 0.0000 0.0000 0.0000 x4  4 Sr 3.12, 2 Ca 3.43

---

13.
Material: SrCa2Ga
Method: DFT, GGA-PBE
State: optimized geometry

Unit cell a=5.0161 b=5.0161 c=5.3614 alpha=90.00 beta=90.00 gamma=90.00
Last column: nearest neighbours and their distance in Å.
Space group P4/mmm (No. 123)
Inequivalent atoms, fractional coordinates:
Sr 0.0000 0.0000 0.0000 x1  4 Ga 3.55, 8 Ca 3.67
Ca 0.0000 0.5000 0.5000 x2  4 Ca 3.55, 4 Sr 3.67, 4 Ga 3.67
Ga 0.5000 0.5000 0.0000 x1  4 Sr 3.55, 8 Ca 3.67

---

14.
Material: Sr2CaGa
Method: DFT, GGA-PBE
State: optimized geometry

Unit cell a=13.4139 b=13.4139 c=6.8402 alpha=90.00 beta=90.00 gamma=90.00
Last column: nearest neighbours and their distance in Å.
Space group I-4 (No. 82)
Inequivalent atoms, fractional coordinates:
Sr 0.0329 0.3640 0.4844 x8  4 Ga 3.42-3.58, 1 Ca 3.74, 1 Sr 3.75
Sr 0.0844 0.8790 0.2437 x8  2 Ga 3.30-3.46, 1 Ca 3.69
Ca 0.1691 0.7796 0.7694 x8  3 Ga 3.23-3.50
Ga 0.0562 0.2917 0.9832 x8  3 Ca 3.23-3.50, 6 Sr 3.30-3.58

---

15.
Material: SrCa2Ga
Method: DFT, GGA-PBE
State: optimized geometry

Unit cell a=4.8841 b=4.8841 c=24.3321 alpha=90.00 beta=90.00 gamma=90.00
Last column: nearest neighbours and their distance in Å.
Space group I-42d (No. 122)
Inequivalent atoms, fractional coordinates:
Sr 0.0000 0.0000 0.0000 x4  4 Ga 3.45, 4 Ca 3.54
Ca 0.2242 0.2500 0.6250 x8  4 Ca 3.28-3.64, 2 Ga 3.46, 2 Sr 3.54
Ga 0.0000 0.0000 0.5000 x4  4 Sr 3.45, 4 Ca 3.46

---

16.
Material: Sr2Ca2Ga
Method: DFT, GGA-PBE
State: optimized geometry

Computed properties:
Polymorph energy (0 for the lowest one), meV per atom: 0

Unit cell a=8.1068 b=8.1068 c=6.3068 alpha=90.00 beta=90.00 gamma=90.00
Last column: nearest neighbours and their distance in Å.
Space group P4/mbm (No. 127)
Inequivalent atoms, fractional coordinates:
Sr 0.1761 0.3239 0.0000 x4  2 Ca 3.69, 1 Sr 4.04
Ca 0.1565 0.6565 0.5000 x4  2 Ga 3.06
Ga 0.0000 0.0000 0.5000 x2  4 Ca 3.06

---

17.
Material: Sr2Ca2Ga3
Method: DFT, GGA-PBE
State: optimized geometry

Unit cell a=14.2859 b=4.5888 c=7.6777 alpha=90.00 beta=118.49 gamma=90.00
Last column: nearest neighbours and their distance in Å.
Space group C2/m (No. 12)
Inequivalent atoms, fractional coordinates:
Sr 0.1140 0.0000 0.2771 x4  4 Ga 3.26-3.34
Ca 0.1622 0.0000 0.7951 x4  5 Ga 3.08-3.29
Ga 0.0000 0.5000 0.5000 x2  2 Ga 3.07, 4 Ca 3.28
Ga 0.0765 0.5000 0.9478 x4  1 Ga 2.66

---

18.
Material: SrCa2Ga
Method: DFT, GGA-PBE
State: optimized geometry

Unit cell a=3.8102 b=3.8102 c=9.8776 alpha=90.00 beta=90.00 gamma=90.00
Last column: nearest neighbours and their distance in Å.
Space group P4/mmm (No. 123)
Inequivalent atoms, fractional coordinates:
Sr 0.0000 0.0000 0.0000 x1  4 Sr 3.81, 8 Ca 4.16
Ca 0.5000 0.5000 0.3215 x2  4 Ga 3.22, 1 Ca 3.53
Ga 0.0000 0.0000 0.5000 x1  8 Ca 3.22

---

19.
Material: Sr2Ca2Ga
Method: DFT, GGA-PBE
State: optimized geometry

Computed properties:
Polymorph energy (0 for the lowest one), meV per atom: 190

Unit cell a=4.4996 b=4.4996 c=20.7638 alpha=90.00 beta=90.00 gamma=90.00
Last column: nearest neighbours and their distance in Å.
Space group I4/mmm (No. 139)
Inequivalent atoms, fractional coordinates:
Sr 0.0000 0.0000 0.0866 x4  1 Sr 3.59, 4 Ga 3.65
Ca 0.0000 0.5000 0.2500 x4  4 Ca 3.18
Ga 0.0000 0.0000 0.5000 x2  8 Sr 3.65

---

20.
Material: SrCa2Ga3
Method: DFT, GGA-PBE
State: optimized geometry

Unit cell a=5.2929 b=15.9555 c=3.7473 alpha=90.00 beta=90.00 gamma=90.00
Last column: nearest neighbours and their distance in Å.
Space group Cmmm (No. 65)
Inequivalent atoms, fractional coordinates:
Sr 0.0000 0.0000 0.0000 x2  8 Ga 3.24-3.35
Ca 0.0000 0.3343 0.0000 x4  8 Ga 3.17-3.25
Ga 0.0000 0.1743 0.5000 x4  6 Ca 3.17-3.25, 2 Sr 3.35
Ga 0.0000 0.5000 0.5000 x2  4 Ca 3.24, 4 Sr 3.24

---

21.
Material: Sr2CaGa2
Method: DFT, GGA-PBE
State: optimized geometry

Computed properties:
Polymorph energy (0 for the lowest one), meV per atom: 273

Unit cell a=3.9178 b=3.9178 c=23.8285 alpha=90.00 beta=90.00 gamma=90.00
Last column: nearest neighbours and their distance in Å.
Space group I4/mmm (No. 139)
Inequivalent atoms, fractional coordinates:
Sr 0.0000 0.0000 0.1326 x4  4 Ga 3.41
Ca 0.0000 0.0000 0.5000 x2  4 Ca 3.92, 8 Sr 4.20
Ga 0.0000 0.5000 0.2500 x4  4 Ga 2.77

---

22.
Material: SrCaGa3
Method: DFT, GGA-PBE
State: optimized geometry

Computed properties:
Polymorph energy (0 for the lowest one), meV per atom: 1005

Unit cell a=5.6856 b=5.6856 c=5.6856 alpha=90.00 beta=90.00 gamma=90.00
Last column: nearest neighbours and their distance in Å.
Space group Pm-3m (No. 221)
Inequivalent atoms, fractional coordinates:
Sr 0.0000 0.0000 0.0000 x1  6 Ga 2.84
Ca 0.5000 0.5000 0.5000 x1  12 Ga 4.02
Ga 0.0000 0.0000 0.5000 x3  2 Sr 2.84

---

23.
Material: Sr2CaGa2
Method: DFT, GGA-PBE
State: optimized geometry

Computed properties:
Polymorph energy (0 for the lowest one), meV per atom: 154

Unit cell a=9.3408 b=9.3408 c=3.6327 alpha=90.00 beta=90.00 gamma=90.00
Last column: nearest neighbours and their distance in Å.
Space group P4/mbm (No. 127)
Inequivalent atoms, fractional coordinates:
Sr 0.1351 0.3649 0.0000 x4  6 Ga 3.23-3.34, 1 Sr 3.57
Ca 0.0000 0.0000 0.0000 x2  2 Ca 3.63, 4 Sr 3.63, 8 Ga 3.94
Ga 0.1631 0.6631 0.5000 x4  6 Sr 3.23-3.34

---

24.
Material: SrCaGa4
Method: DFT, GGA-PBE
State: optimized geometry

Computed properties:
Polymorph energy (0 for the lowest one), meV per atom: 73

Unit cell a=8.0987 b=8.0987 c=8.0987 alpha=90.00 beta=90.00 gamma=90.00
Last column: nearest neighbours and their distance in Å.
Space group F-43m (No. 216)
Inequivalent atoms, fractional coordinates:
Sr 0.0000 0.0000 0.0000 x4  12 Ga 3.36, 4 Ca 3.51
Ca 0.2500 0.2500 0.2500 x4  12 Ga 3.36, 4 Sr 3.51
Ga 0.1248 0.1248 0.6248 x16  6 Ga 2.86-2.87

---

Number 1: total DFT energy (no corrections) -2.641 eV per atom, energy of formation -32.6 kJ/mol of atoms. Number 2: total DFT energy (no corrections) -2.595 eV per atom, energy of formation -30.1 kJ/mol of atoms. Number 3: total DFT energy (no corrections) -1.862 eV per atom, energy of formation 22.8 kJ/mol of atoms. Number 4: total DFT energy (no corrections) -3.013 eV per atom, energy of formation -45.4 kJ/mol of atoms. Number 5: total DFT energy (no corrections) -2.335 eV per atom, energy of formation 21.0 kJ/mol of atoms. Number 6: total DFT energy (no corrections) -2.416 eV per atom, energy of formation -22.9 kJ/mol of atoms. Number 7: total DFT energy (no corrections) -2.180 eV per atom, energy of formation -7.9 kJ/mol of atoms. Number 8: total DFT energy (no corrections) -2.454 eV per atom, energy of formation -24.2 kJ/mol of atoms. Number 9: total DFT energy (no corrections) -2.289 eV per atom, energy of formation -10.7 kJ/mol of atoms. Number 10: total DFT energy (no corrections) -2.169 eV per atom, energy of formation -14.9 kJ/mol of atoms. Number 11: total DFT energy (no corrections) -2.475 eV per atom, energy of formation -4.0 kJ/mol of atoms. Number 12: total DFT energy (no corrections) -2.087 eV per atom, energy of formation 1.1 kJ/mol of atoms. Number 13: total DFT energy (no corrections) -2.272 eV per atom, energy of formation -9.1 kJ/mol of atoms. Number 14: total DFT energy (no corrections) -2.294 eV per atom, energy of formation -18.9 kJ/mol of atoms. Number 15: total DFT energy (no corrections) -2.072 eV per atom, energy of formation 10.3 kJ/mol of atoms. Number 16: total DFT energy (no corrections) -2.091 eV per atom, energy of formation -1.2 kJ/mol of atoms. Number 17: total DFT energy (no corrections) -2.668 eV per atom, energy of formation -30.7 kJ/mol of atoms. Number 18: total DFT energy (no corrections) -2.380 eV per atom, energy of formation -19.5 kJ/mol of atoms. Number 19: total DFT energy (no corrections) -1.901 eV per atom, energy of formation 17.2 kJ/mol of atoms. Number 20: total DFT energy (no corrections) -2.860 eV per atom, energy of formation -38.5 kJ/mol of atoms. Number 21: total DFT energy (no corrections) -2.341 eV per atom, energy of formation -5.5 kJ/mol of atoms. Number 22: total DFT energy (no corrections) -2.029 eV per atom, energy of formation 50.5 kJ/mol of atoms. Number 23: total DFT energy (no corrections) -2.461 eV per atom, energy of formation -17.1 kJ/mol of atoms. Number 24: total DFT energy (no corrections) -3.049 eV per atom, energy of formation -40.3 kJ/mol of atoms.